--- A ---
First-principles (PBE-GGA) data for Ho2HfGa after structural relaxation, as listed in the Alexandria database.

a = 3.2772 Å, b = 3.2772 Å, c = 33.2340 Å
α = 90.00°, β = 90.00°, γ = 120.00°
Space group R-3m (No. 166, hexagonal axes)
Inequivalent atoms, fractional coordinates:
Ho 0.0000 0.0000 0.0968
Hf 0.0000 0.0000 0.0000
Ga 0.0000 0.0000 0.5000

***

--- B ---
First-principles (PBE-GGA) data for Ho2HfGa after structural relaxation, as listed in the Alexandria database.

a = 4.538 Å, b = 4.538 Å, c = 4.558 Å
α = 90.00°, β = 90.00°, γ = 90.00°
Space group P4/mmm (No. 123)
Inequivalent atoms, fractional coordinates:
Ho 0.000 0.500 0.000
Hf 0.000 0.000 0.500
Ga 0.500 0.500 0.500

***

The calculated energies rank the structures as follows, beginning with the most stable: B, A.

***

--- A ---
First-principles (PBE-GGA) data for Hg2WBr after structural relaxation, as listed in the Alexandria database.

a = 3.020 Å, b = 5.088 Å, c = 5.617 Å
α = 90.00°, β = 90.00°, γ = 90.00°
Space group Pmmm (No. 47)
Inequivalent atoms, fractional coordinates:
Hg 0.000 0.000 0.000
Hg 0.500 0.500 0.000
W 0.000 0.500 0.500
Br 0.500 0.000 0.500

***

--- B ---
First-principles (PBE-GGA) data for Hg2WBr after structural relaxation, as listed in the Alexandria database.

a = 6.007 Å, b = 9.034 Å, c = 3.048 Å
α = 90.00°, β = 90.00°, γ = 90.00°
Space group Cmmm (No. 65)
Inequivalent atoms, fractional coordinates:
Hg 0.250 0.250 0.000
W 0.000 0.000 0.500
Br 0.000 0.500 0.500

***

The calculated energies rank the structures as follows, beginning with the most stable: B, A.

***

--- A ---
First-principles (PBE-GGA) data for CrRu2W after structural relaxation, as listed in the Alexandria database.

a = 2.880 Å, b = 4.391 Å, c = 8.911 Å
α = 90.00°, β = 90.00°, γ = 90.00°
Space group Immm (No. 71)
Inequivalent atoms, fractional coordinates:
Cr 0.000 0.000 0.000
Ru 0.000 0.500 0.275
W 0.000 0.000 0.500

***

--- B ---
First-principles (PBE-GGA) data for CrRu2W after structural relaxation, as listed in the Alexandria database.

a = 3.787 Å, b = 3.787 Å, c = 7.843 Å
α = 90.00°, β = 90.00°, γ = 90.00°
Space group I-4m2 (No. 119)
Inequivalent atoms, fractional coordinates:
Cr 0.000 0.000 0.000
Ru 0.000 0.000 0.500
Ru 0.000 0.500 0.750
W 0.000 0.500 0.250

***

The calculated energies rank the structures as follows, beginning with the most stable: B, A.